This record from Alexandria via LeMat-Bulk describes CsLi2NpBr6 after structural relaxation. The functional is PBE-GGA.

It has space group C2/c (No. 15), with a = 14.2777 Å, b = 13.9585 Å, c = 8.7016 Å, α = 90.00°, β = 112.21° and γ = 90.00°. Symmetry generates all atoms from Cs at (0.0000, 0.0906, 0.2500), Li at (0.1945, 0.4312, 0.1154), Np at (0.0000, 0.2879, 0.7500), Br at (0.0761, 0.2985, 0.1031), Br at (0.1256, 0.1289, 0.7122) and Br at (0.1593, 0.4330, 0.7980).

Its crystal system is monoclinic. The calculation puts the uncorrected formation energy at -1483 meV per atom. The calculation puts the total DFT energy (no corrections) at -4.249 eV per atom. The volume comes out at 1606 Å³/cell.

This record from Alexandria via LeMat-Bulk describes KGeC3 after structural relaxation. The functional is PBE-GGA.

It has space group Pm-3m (No. 221), with a = 4.1321 Å, b = 4.1321 Å, c = 4.1321 Å, α = 90.00°, β = 90.00° and γ = 90.00°. Symmetry generates all atoms from K at (0.0000, 0.0000, 0.0000), Ge at (0.5000, 0.5000, 0.5000) and C at (0.0000, 0.5000, 0.5000).

Its crystal system is cubic. The value obtained for the calculated formation energy is 2442 meV/atom. The calculation puts the total DFT energy (no corrections) at -4.235 eV per atom. The volume comes out at 71 Å³/cell.

This record from Alexandria via LeMat-Bulk describes MgCd2PtO6 after structural relaxation. The functional is PBE-GGA.

It has space group P2_1/c (No. 14), with a = 5.4703 Å, b = 5.5455 Å, c = 9.5327 Å, α = 90.00°, β = 124.95° and γ = 90.00°. Symmetry generates all atoms from Mg at (0.0000, 0.0000, 0.0000), Cd at (0.2551, 0.0465, 0.7478), Pt at (0.5000, 0.0000, 0.5000), O at (0.1555, 0.0441, 0.2576), O at (0.2530, 0.6898, 0.0513) and O at (0.3721, 0.2040, 0.0571).

Its crystal system is monoclinic. The calculation puts the uncorrected formation energy at -1047 meV per atom. The calculation puts the total DFT energy (no corrections) at -4.968 eV per atom. The volume comes out at 237 Å³/cell.

This record from Alexandria via LeMat-Bulk describes YGaNiRh after structural relaxation. The functional is PBE-GGA.

It has space group F-43m (No. 216), with a = 6.4191 Å, b = 6.4191 Å, c = 6.4191 Å, α = 90.00°, β = 90.00° and γ = 90.00°. Symmetry generates all atoms from Y at (0.0000, 0.0000, 0.0000), Ga at (0.0000, 0.0000, 0.5000), Ni at (0.2500, 0.2500, 0.2500) and Rh at (0.2500, 0.2500, 0.7500).

Its crystal system is cubic. The value obtained for the calculated formation energy is -554 meV/atom. The calculation puts the total DFT energy (no corrections) at -6.210 eV per atom. The volume comes out at 265 Å³/cell.

This record from Alexandria via LeMat-Bulk describes K3Pu2ZrS6 after structural relaxation. The functional is PBE-GGA.

It has space group C2/m (No. 12), with a = 6.9488 Å, b = 12.0366 Å, c = 7.7153 Å, α = 90.00°, β = 107.51° and γ = 90.00°. Symmetry generates all atoms from K at (0.0000, 0.0000, 0.0000), K at (0.0000, 0.3317, 0.0000), Pu at (0.0000, 0.1665, 0.5000), Zr at (0.0000, 0.5000, 0.5000), S at (0.2254, 0.3413, 0.7002) and S at (0.2496, 0.0000, 0.7002).

Its crystal system is monoclinic. The calculation puts the uncorrected formation energy at -1569 meV per atom. The calculation puts the total DFT energy (no corrections) at -7.008 eV per atom. The volume comes out at 615 Å³/cell.

This record from Alexandria via LeMat-Bulk describes NaLi3N after structural relaxation. The functional is PBE-GGA.

It has space group C2/m (No. 12), with a = 10.9353 Å, b = 3.8994 Å, c = 9.4280 Å, α = 90.00°, β = 110.67° and γ = 90.00°. Symmetry generates all atoms from Na at (0.1751, 0.0000, 0.1980), Li at (0.0749, 0.5000, 0.8731), Li at (0.0877, 0.5000, 0.4678), Li at (0.0984, 0.0000, 0.6839) and N at (0.0939, 0.5000, 0.6816).

Its crystal system is monoclinic. The calculation puts the uncorrected formation energy at -146 meV per atom. The calculation puts the total DFT energy (no corrections) at -3.223 eV per atom. The volume comes out at 376 Å³/cell.

This record from Alexandria via LeMat-Bulk describes Sb4S4Br3 after structural relaxation. The functional is PBE-GGA.

It has space group Immm (No. 71), with a = 3.6822 Å, b = 9.1798 Å, c = 16.3953 Å, α = 90.00°, β = 90.00° and γ = 90.00°. Symmetry generates all atoms from Sb at (0.0000, 0.0000, 0.2132), Sb at (0.0000, 0.2342, 0.5000), S at (0.0000, 0.3142, 0.3403), Br at (0.0000, 0.0000, 0.0000) and Br at (0.0000, 0.5000, 0.1015).

Its crystal system is orthorhombic. The calculation puts the uncorrected formation energy at -120 meV per atom. The calculation puts the total DFT energy (no corrections) at -3.576 eV per atom. The volume comes out at 554 Å³/cell.

This record from Alexandria via LeMat-Bulk describes CsUCl5 after structural relaxation. The functional is PBE-GGA.

It has space group C2/c (No. 15), with a = 12.9623 Å, b = 9.1804 Å, c = 10.8731 Å, α = 90.00°, β = 112.97° and γ = 90.00°. Symmetry generates all atoms from Cs at (0.0000, 0.0376, 0.2500), U at (0.0000, 0.5000, 0.0000), Cl at (0.0000, 0.4510, 0.2500), Cl at (0.0659, 0.2313, 0.0020) and Cl at (0.2041, 0.4139, 0.6037).

Its crystal system is monoclinic. The calculation puts the uncorrected formation energy at -1844 meV per atom. The calculation puts the total DFT energy (no corrections) at -4.898 eV per atom. The volume comes out at 1191 Å³/cell.